# GGA-PBE NiRh2, relaxed
# Calculated volume in Å³ per cell: 79.3
# Formation energy from the elements in eV/atom: 0.0428
# DOS at the Fermi energy in states/eV/cell: 10.89
# Calculated total energy in eV for the cell shown: -40.712
# Total magnetization in μB/f.u.: 0.74
data_NiRh2
_cell_length_a 2.7028
_cell_length_b 2.7028
_cell_length_c 10.8557
_cell_angle_alpha 90.00
_cell_angle_beta 90.00
_cell_angle_gamma 90.00
_symmetry_space_group_name_H-M 'P 4/n m m'
_symmetry_Int_Tables_number 129
loop_
_symmetry_equiv_pos_as_xyz
'x,y,z'
'-x,-y,-z'
'-y+1/2,x,z'
'y+1/2,-x,-z'
'-x+1/2,-y+1/2,z'
'x+1/2,y+1/2,-z'
'y,-x+1/2,z'
'-y,x+1/2,-z'
'x+1/2,-y,-z'
'-x+1/2,y,z'
'-y,-x,-z'
'y,x,z'
'-x,y+1/2,-z'
'x,-y+1/2,z'
'y+1/2,x+1/2,-z'
'-y+1/2,-x+1/2,z'
loop_
_atom_site_label
_atom_site_type_symbol
_atom_site_fract_x
_atom_site_fract_y
_atom_site_fract_z
Ni1 Ni 0.2500 0.2500 0.0727
Rh1 Rh 0.2500 0.2500 0.4113
Rh2 Rh 0.2500 0.2500 0.7658

# GGA-PBE Sc2AlIr, relaxed
# Calculated volume in Å³ per cell: 75.5
# Formation energy from the elements in eV/atom: -0.6014
# DOS at the Fermi energy in states/eV/cell: 3.42
# Calculated total energy in eV for the cell shown: -27.672
# Total magnetization in μB/f.u.: 0.09
data_Sc2AlIr
_cell_length_a 3.0693
_cell_length_b 3.0693
_cell_length_c 8.0164
_cell_angle_alpha 90.00
_cell_angle_beta 90.00
_cell_angle_gamma 90.00
_symmetry_space_group_name_H-M 'P 4 m m'
_symmetry_Int_Tables_number 99
loop_
_symmetry_equiv_pos_as_xyz
'x,y,z'
'-y,x,z'
'-x,-y,z'
'y,-x,z'
'-x,y,z'
'y,x,z'
'x,-y,z'
'-y,-x,z'
loop_
_atom_site_label
_atom_site_type_symbol
_atom_site_fract_x
_atom_site_fract_y
_atom_site_fract_z
Sc1 Sc 0.0000 0.0000 0.0000
Sc2 Sc 0.5000 0.5000 0.3431
Al1 Al 0.0000 0.0000 0.6037
Ir1 Ir 0.5000 0.5000 0.7824

# GGA-PBE CrTc2Br, relaxed
# Calculated volume in Å³ per cell: 126.1
# DOS at the Fermi energy in states/eV/cell: 10.72
# Calculated total energy in eV for the cell shown: -58.219
# Total magnetization in μB/f.u.: 0.00
data_CrTc2Br
_cell_length_a 3.0173
_cell_length_b 4.8407
_cell_length_c 8.6320
_cell_angle_alpha 90.00
_cell_angle_beta 90.00
_cell_angle_gamma 90.00
_symmetry_space_group_name_H-M 'C m m m'
_symmetry_Int_Tables_number 65
_symmetry_space_group_name_Hall '-C 2 2'
loop_
_atom_site_label
_atom_site_type_symbol
_atom_site_fract_x
_atom_site_fract_y
_atom_site_fract_z
Cr1 Cr 0.0000 0.0000 0.0000
Tc1 Tc 0.0000 0.5000 0.2188
Br1 Br 0.0000 0.0000 0.5000

# GGA-PBE NpIn3Cl6, relaxed
# Calculated volume in Å³ per cell: 674.1
# DOS at the Fermi energy in states/eV/cell: 11.20
# Calculated total energy in eV for the cell shown: -88.147
# Total magnetization in μB/f.u.: 4.00
data_NpIn3Cl6
_cell_length_a 7.4237
_cell_length_b 8.3604
_cell_length_c 12.7547
_cell_angle_alpha 90.00
_cell_angle_beta 121.62
_cell_angle_gamma 90.00
_symmetry_space_group_name_H-M 'P 1 21/c 1'
_symmetry_Int_Tables_number 14
loop_
_symmetry_equiv_pos_as_xyz
'x,y,z'
'-x,-y,-z'
'-x,y+1/2,-z+1/2'
'x,-y+1/2,z+1/2'
loop_
_atom_site_label
_atom_site_type_symbol
_atom_site_fract_x
_atom_site_fract_y
_atom_site_fract_z
Np1 Np 0.0000 0.0000 0.0000
In1 In 0.2941 0.0723 0.7678
In2 In 0.5000 0.0000 0.5000
Cl1 Cl 0.0909 0.0702 0.2331
Cl2 Cl 0.2373 0.7264 0.0801
Cl3 Cl 0.3532 0.1630 0.0432

# GGA-PBE Mg6Hg2Au, relaxed
# Calculated volume in Å³ per cell: 187.0
# Formation energy from the elements in eV/atom: -0.2444
# DOS at the Fermi energy in states/eV/cell: 0.73
# Calculated total energy in eV for the cell shown: -15.648
# Total magnetization in μB/f.u.: 0.00
data_Mg6Hg2Au
_cell_length_a 4.8918
_cell_length_b 4.8918
_cell_length_c 9.0220
_cell_angle_alpha 90.00
_cell_angle_beta 90.00
_cell_angle_gamma 120.00
_symmetry_space_group_name_H-M 'P -3 m 1'
_symmetry_Int_Tables_number 164
_symmetry_space_group_name_Hall '-P 3 2"'
loop_
_atom_site_label
_atom_site_type_symbol
_atom_site_fract_x
_atom_site_fract_y
_atom_site_fract_z
Mg1 Mg 0.0000 0.0000 0.1887
Mg2 Mg 0.3333 0.6667 0.5884
Mg3 Mg 0.3333 0.6667 0.9389
Hg1 Hg 0.3333 0.6667 0.2562
Au1 Au 0.0000 0.0000 0.5000

# GGA-PBE TlAu3Cl9, relaxed
# Calculated volume in Å³ per cell: 1694.7
# DOS at the Fermi energy in states/eV/cell: 22.69
# Calculated total energy in eV for the cell shown: -133.170
# Total magnetization in μB/f.u.: 0.00
data_TlAu3Cl9
_cell_length_a 18.2800
_cell_length_b 7.0472
_cell_length_c 15.4809
_cell_angle_alpha 90.00
_cell_angle_beta 121.81
_cell_angle_gamma 90.00
_symmetry_space_group_name_H-M 'C 1 c 1'
_symmetry_Int_Tables_number 9
loop_
_symmetry_equiv_pos_as_xyz
'x,y,z'
'x,-y,z+1/2'
'x+1/2,y+1/2,z'
'x+1/2,-y+1/2,z+1/2'
loop_
_atom_site_label
_atom_site_type_symbol
_atom_site_fract_x
_atom_site_fract_y
_atom_site_fract_z
Tl1 Tl 0.0000 0.1677 0.0000
Au1 Au 0.0928 0.4498 0.7536
Au2 Au 0.2534 0.0068 0.2399
Au3 Au 0.4147 0.4843 0.1974
Cl1 Cl 0.0044 0.2710 0.2128
Cl2 Cl 0.0741 0.3780 0.8883
Cl3 Cl 0.1211 0.4618 0.1295
Cl4 Cl 0.1500 0.0741 0.5730
Cl5 Cl 0.1815 0.1531 0.8108
Cl6 Cl 0.3264 0.1724 0.1749
Cl7 Cl 0.3547 0.0818 0.4094
Cl8 Cl 0.4067 0.4087 0.8338
Cl9 Cl 0.4206 0.3797 0.0601

# GGA-PBE LaBeNb3, relaxed
# Calculated volume in Å³ per cell: 114.7
# Formation energy from the elements in eV/atom: 2.0662
# DOS at the Fermi energy in states/eV/cell: 3.17
# Calculated total energy in eV for the cell shown: -28.532
# Total magnetization in μB/f.u.: 0.00
data_LaBeNb3
_cell_length_a 4.8592
_cell_length_b 4.8592
_cell_length_c 4.8592
_cell_angle_alpha 90.00
_cell_angle_beta 90.00
_cell_angle_gamma 90.00
_symmetry_space_group_name_H-M 'P m -3 m'
_symmetry_Int_Tables_number 221
_symmetry_space_group_name_Hall '-P 4 2 3'
loop_
_atom_site_label
_atom_site_type_symbol
_atom_site_fract_x
_atom_site_fract_y
_atom_site_fract_z
La1 La 0.0000 0.0000 0.0000
Be1 Be 0.5000 0.5000 0.5000
Nb1 Nb 0.0000 0.0000 0.5000

# GGA-PBE Pr4Nd5In, relaxed
# Calculated volume in Å³ per cell: 718.4
# Formation energy from the elements in eV/atom: 0.0749
# DOS at the Fermi energy in states/eV/cell: 27.56
# Calculated total energy in eV for the cell shown: -89.893
# Total magnetization in μB/f.u.: 0.00
data_Pr4Nd5In
_cell_length_a 10.8412
_cell_length_b 10.8412
_cell_length_c 6.1122
_cell_angle_alpha 90.00
_cell_angle_beta 90.00
_cell_angle_gamma 90.00
_symmetry_space_group_name_H-M 'I 4 m m'
_symmetry_Int_Tables_number 107
_symmetry_space_group_name_Hall 'I 4 -2'
loop_
_atom_site_label
_atom_site_type_symbol
_atom_site_fract_x
_atom_site_fract_y
_atom_site_fract_z
Pr1 Pr 0.0000 0.3106 0.0000
Nd1 Nd 0.0000 0.0000 0.2081
Nd2 Nd 0.1863 0.1863 0.4939
In1 In 0.0000 0.0000 0.7282

# GGA-PBE Mg2As, relaxed
# Calculated volume in Å³ per cell: 125.3
# Formation energy from the elements in eV/atom: -0.3547
# DOS at the Fermi energy in states/eV/cell: 2.76
# Calculated total energy in eV for the cell shown: -17.805
# Total magnetization in μB/f.u.: 0.00
data_Mg2As
_cell_length_a 4.2330
_cell_length_b 4.2330
_cell_length_c 6.9918
_cell_angle_alpha 90.00
_cell_angle_beta 90.00
_cell_angle_gamma 90.00
_symmetry_space_group_name_H-M 'P 4/n m m'
_symmetry_Int_Tables_number 129
loop_
_symmetry_equiv_pos_as_xyz
'x,y,z'
'-x,-y,-z'
'-y+1/2,x,z'
'y+1/2,-x,-z'
'-x+1/2,-y+1/2,z'
'x+1/2,y+1/2,-z'
'y,-x+1/2,z'
'-y,x+1/2,-z'
'x+1/2,-y,-z'
'-x+1/2,y,z'
'-y,-x,-z'
'y,x,z'
'-x,y+1/2,-z'
'x,-y+1/2,z'
'y+1/2,x+1/2,-z'
'-y+1/2,-x+1/2,z'
loop_
_atom_site_label
_atom_site_type_symbol
_atom_site_fract_x
_atom_site_fract_y
_atom_site_fract_z
Mg1 Mg 0.2500 0.2500 0.1505
Mg2 Mg 0.2500 0.7500 0.5000
As1 As 0.2500 0.2500 0.7604

# GGA-PBE Dy4HgRuAu2, relaxed
# Calculated volume in Å³ per cell: 550.9
# Formation energy from the elements in eV/atom: -0.6435
# DOS at the Fermi energy in states/eV/cell: 17.43
# Calculated total energy in eV for the cell shown: -119.066
# Total magnetization in μB/f.u.: 0.00
data_Dy4HgRuAu2
_cell_length_a 5.0808
_cell_length_b 5.0808
_cell_length_c 24.6432
_cell_angle_alpha 90.00
_cell_angle_beta 90.00
_cell_angle_gamma 120.00
_symmetry_space_group_name_H-M 'R -3 m'
_symmetry_Int_Tables_number 166
_symmetry_space_group_name_Hall '-R 3 2"'
loop_
_atom_site_label
_atom_site_type_symbol
_atom_site_fract_x
_atom_site_fract_y
_atom_site_fract_z
Dy1 Dy 0.0000 0.0000 0.1167
Dy2 Dy 0.0000 0.0000 0.3683
Hg1 Hg 0.0000 0.0000 0.5000
Ru1 Ru 0.0000 0.0000 0.0000
Au1 Au 0.0000 0.0000 0.2447

Which formula does entry 9 have?
Mg2As

calculated total energy of number 3 (CrTc2Br)?
-58.219 eV for the cell shown